[1]
# Hf6CdCo, relaxed, DFT PBE
data_Hf6CdCo
_chemical_formula_sum 'Hf18 Cd3 Co3'
_cell_length_a 9.3033
_cell_length_b 9.3033
_cell_length_c 7.0635
_cell_angle_alpha 90.00
_cell_angle_beta 90.00
_cell_angle_gamma 120.00
_symmetry_space_group_name_H-M 'R -3 m'
_symmetry_Int_Tables_number 166
_symmetry_space_group_name_Hall '-R 3 2"'
loop_
_atom_site_label
_atom_site_type_symbol
_atom_site_fract_x
_atom_site_fract_y
_atom_site_fract_z
Hf1 Hf 0.0544 0.5272 0.3071
Cd1 Cd 0.0000 0.0000 0.0000
Co1 Co 0.0000 0.0000 0.5000
# DOS at the Fermi energy   0.91 states/eV per atom
# Crystal system   trigonal
# Magnetization   0.000 μB/cell
# Energy of formation   183 meV per atom

[2]
# Ca2NdGa, relaxed, DFT PBE
data_Ca2NdGa
_chemical_formula_sum 'Ca2 Nd1 Ga1'
_cell_length_a 3.557
_cell_length_b 3.557
_cell_length_c 9.861
_cell_angle_alpha 90.00
_cell_angle_beta 90.00
_cell_angle_gamma 90.00
_symmetry_space_group_name_H-M 'P 4/m m m'
_symmetry_Int_Tables_number 123
_symmetry_space_group_name_Hall '-P 4 2'
loop_
_atom_site_label
_atom_site_type_symbol
_atom_site_fract_x
_atom_site_fract_y
_atom_site_fract_z
Ca1 Ca 0.000 0.000 0.198
Nd1 Nd 0.500 0.500 0.500
Ga1 Ga 0.500 0.500 0.000
# DOS at the Fermi energy   0.85 states/eV per atom
# Crystal system   tetragonal
# Magnetization   0.000 μB/cell
# Energy of formation   -175 meV per atom
# Energy above the most stable polymorph in this dataset   38 meV per atom

[3]
# CrTcPb2, relaxed, DFT PBE
data_CrTcPb2
_chemical_formula_sum 'Cr1 Tc1 Pb2'
_cell_length_a 4.734
_cell_length_b 4.734
_cell_length_c 3.531
_cell_angle_alpha 90.00
_cell_angle_beta 90.00
_cell_angle_gamma 90.00
_symmetry_space_group_name_H-M 'P 4/m m m'
_symmetry_Int_Tables_number 123
_symmetry_space_group_name_Hall '-P 4 2'
loop_
_atom_site_label
_atom_site_type_symbol
_atom_site_fract_x
_atom_site_fract_y
_atom_site_fract_z
Cr1 Cr 0.000 0.000 0.000
Tc1 Tc 0.500 0.500 0.000
Pb1 Pb 0.000 0.500 0.500
# DOS at the Fermi energy   0.67 states/eV per atom
# Crystal system   tetragonal
# Magnetization   2.973 μB/cell
# Energy of formation   714 meV per atom
# Energy above the most stable polymorph in this dataset   388 meV per atom

[4]
# TcGeIr3, relaxed, DFT PBE
data_TcGeIr3
_chemical_formula_sum 'Tc1 Ge1 Ir3'
_cell_length_a 4.723
_cell_length_b 4.723
_cell_length_c 4.723
_cell_angle_alpha 90.00
_cell_angle_beta 90.00
_cell_angle_gamma 90.00
_symmetry_space_group_name_H-M 'P m -3 m'
_symmetry_Int_Tables_number 221
_symmetry_space_group_name_Hall '-P 4 2 3'
loop_
_atom_site_label
_atom_site_type_symbol
_atom_site_fract_x
_atom_site_fract_y
_atom_site_fract_z
Tc1 Tc 0.000 0.000 0.000
Ge1 Ge 0.500 0.500 0.500
Ir1 Ir 0.000 0.000 0.500
# DOS at the Fermi energy   0.99 states/eV per atom
# Crystal system   cubic
# Magnetization   0.000 μB/cell
# Energy of formation   1606 meV per atom
# Energy above the most stable polymorph in this dataset   217 meV per atom

[5]
# TlCrGeCl5, relaxed, DFT PBE
data_TlCrGeCl5
_chemical_formula_sum 'Tl4 Cr4 Ge4 Cl20'
_cell_length_a 8.471
_cell_length_b 11.847
_cell_length_c 8.955
_cell_angle_alpha 90.00
_cell_angle_beta 100.48
_cell_angle_gamma 90.00
_symmetry_space_group_name_H-M 'C 1 2/c 1'
_symmetry_Int_Tables_number 15
loop_
_symmetry_equiv_pos_as_xyz
'x,y,z'
'-x,-y,-z'
'-x,y,-z+1/2'
'x,-y,z+1/2'
'x+1/2,y+1/2,z'
'-x+1/2,-y+1/2,-z'
'-x+1/2,y+1/2,-z+1/2'
'x+1/2,-y+1/2,z+1/2'
loop_
_atom_site_label
_atom_site_type_symbol
_atom_site_fract_x
_atom_site_fract_y
_atom_site_fract_z
Tl1 Tl 0.000 0.163 0.250
Cr1 Cr 0.000 0.500 0.000
Ge1 Ge 0.000 0.132 0.750
Cl1 Cl 0.000 0.424 0.250
Cl2 Cl 0.110 0.268 0.611
Cl3 Cl 0.233 0.063 0.994
# Formation energy from raw total energies   -0.8707 eV/atom
# Crystal system   monoclinic
# Magnetization   16.000 μB/cell

[6]
# Sm3ZnO6, relaxed, DFT PBE
data_Sm3ZnO6
_chemical_formula_sum 'Sm12 Zn4 O24'
_cell_length_a 9.188
_cell_length_b 11.427
_cell_length_c 5.582
_cell_angle_alpha 90.00
_cell_angle_beta 90.00
_cell_angle_gamma 90.00
_symmetry_space_group_name_H-M 'C m c 21'
_symmetry_Int_Tables_number 36
loop_
_symmetry_equiv_pos_as_xyz
'x,y,z'
'-x,-y,z+1/2'
'-x,y,z'
'x,-y,z+1/2'
'x+1/2,y+1/2,z'
'-x+1/2,-y+1/2,z+1/2'
'-x+1/2,y+1/2,z'
'x+1/2,-y+1/2,z+1/2'
loop_
_atom_site_label
_atom_site_type_symbol
_atom_site_fract_x
_atom_site_fract_y
_atom_site_fract_z
Sm1 Sm 0.000 0.105 0.000
Sm2 Sm 0.193 0.392 0.049
Zn1 Zn 0.000 0.309 0.575
O1 O 0.000 0.283 0.234
O2 O 0.000 0.467 0.736
O3 O 0.159 0.015 0.276
O4 O 0.160 0.236 0.766
# DOS at the Fermi energy   0.80 states/eV per atom
# Formation energy from raw total energies   -2.7943 eV/atom
# Crystal system   orthorhombic
# Magnetization   4.139 μB/cell

[7]
# SrRhW3, relaxed, DFT PBE
data_SrRhW3
_chemical_formula_sum 'Sr1 Rh1 W3'
_cell_length_a 4.861
_cell_length_b 4.861
_cell_length_c 4.861
_cell_angle_alpha 90.00
_cell_angle_beta 90.00
_cell_angle_gamma 90.00
_symmetry_space_group_name_H-M 'P m -3 m'
_symmetry_Int_Tables_number 221
_symmetry_space_group_name_Hall '-P 4 2 3'
loop_
_atom_site_label
_atom_site_type_symbol
_atom_site_fract_x
_atom_site_fract_y
_atom_site_fract_z
Sr1 Sr 0.000 0.000 0.000
Rh1 Rh 0.500 0.500 0.500
W1 W 0.000 0.500 0.500
# DOS at the Fermi energy   1.12 states/eV per atom
# Crystal system   cubic
# Magnetization   1.724 μB/cell
# Energy of formation   1735 meV per atom
# Energy above the most stable polymorph in this dataset   0 meV per atom

[8]
# NbHgGe, relaxed, DFT PBE
data_NbHgGe
_chemical_formula_sum 'Nb4 Hg4 Ge4'
_cell_length_a 4.496
_cell_length_b 20.324
_cell_length_c 2.890
_cell_angle_alpha 90.00
_cell_angle_beta 90.00
_cell_angle_gamma 90.00
_symmetry_space_group_name_H-M 'C m c m'
_symmetry_Int_Tables_number 63
_symmetry_space_group_name_Hall '-C 2c 2'
loop_
_atom_site_label
_atom_site_type_symbol
_atom_site_fract_x
_atom_site_fract_y
_atom_site_fract_z
Nb1 Nb 0.000 0.195 0.250
Hg1 Hg 0.000 0.064 0.750
Ge1 Ge 0.000 0.327 0.250
# DOS at the Fermi energy   0.35 states/eV per atom
# Crystal system   orthorhombic
# Magnetization   0.000 μB/cell
# Energy of formation   -67 meV per atom
# Energy above the most stable polymorph in this dataset   26 meV per atom

[9]
# Na3IrW, relaxed, DFT PBE
data_Na3IrW
_chemical_formula_sum 'Na3 Ir1 W1'
_cell_length_a 5.652
_cell_length_b 5.652
_cell_length_c 5.652
_cell_angle_alpha 90.00
_cell_angle_beta 90.00
_cell_angle_gamma 90.00
_symmetry_space_group_name_H-M 'P m -3 m'
_symmetry_Int_Tables_number 221
_symmetry_space_group_name_Hall '-P 4 2 3'
loop_
_atom_site_label
_atom_site_type_symbol
_atom_site_fract_x
_atom_site_fract_y
_atom_site_fract_z
Na1 Na 0.000 0.000 0.500
Ir1 Ir 0.500 0.500 0.500
W1 W 0.000 0.000 0.000
# DOS at the Fermi energy   1.19 states/eV per atom
# Crystal system   cubic
# Magnetization   6.075 μB/cell
# Energy of formation   2375 meV per atom
# Energy above the most stable polymorph in this dataset   69 meV per atom

[10]
# TmMn2Se4, relaxed, DFT PBE
data_TmMn2Se4
_chemical_formula_sum 'Tm4 Mn8 Se16'
_cell_length_a 3.826
_cell_length_b 12.556
_cell_length_c 12.641
_cell_angle_alpha 90.00
_cell_angle_beta 90.00
_cell_angle_gamma 90.00
_symmetry_space_group_name_H-M 'C m c m'
_symmetry_Int_Tables_number 63
_symmetry_space_group_name_Hall '-C 2c 2'
loop_
_atom_site_label
_atom_site_type_symbol
_atom_site_fract_x
_atom_site_fract_y
_atom_site_fract_z
Tm1 Tm 0.000 0.115 0.250
Mn1 Mn 0.000 0.368 0.067
Se1 Se 0.000 0.000 0.000
Se2 Se 0.000 0.277 0.614
Se3 Se 0.000 0.451 0.250
# DOS at the Fermi energy   0.31 states/eV per atom
# Formation energy from raw total energies   -0.9076 eV/atom
# Crystal system   orthorhombic
# Magnetization   35.720 μB/cell

[11]
# Na2HoInBi2, relaxed, DFT PBE
data_Na2HoInBi2
_chemical_formula_sum 'Na4 Ho2 In2 Bi4'
_cell_length_a 4.797
_cell_length_b 10.313
_cell_length_c 7.005
_cell_angle_alpha 90.00
_cell_angle_beta 90.00
_cell_angle_gamma 90.00
_symmetry_space_group_name_H-M 'P m c 21'
_symmetry_Int_Tables_number 26
loop_
_symmetry_equiv_pos_as_xyz
'x,y,z'
'-x,-y,z+1/2'
'-x,y,z'
'x,-y,z+1/2'
loop_
_atom_site_label
_atom_site_type_symbol
_atom_site_fract_x
_atom_site_fract_y
_atom_site_fract_z
Na1 Na 0.000 0.012 0.000
Na2 Na 0.500 0.159 0.265
Ho1 Ho 0.500 0.480 0.914
In1 In 0.000 0.344 0.634
Bi1 Bi 0.000 0.342 0.170
Bi2 Bi 0.500 0.171 0.742
# DOS at the Fermi energy   0.42 states/eV per atom
# Crystal system   orthorhombic
# Magnetization   0.000 μB/cell
# Energy of formation   -340 meV per atom

[12]
# RbMg14BO15, relaxed, DFT PBE
data_RbMg14BO15
_chemical_formula_sum 'Rb1 Mg14 B1 O15'
_cell_length_a 4.470
_cell_length_b 8.279
_cell_length_c 9.018
_cell_angle_alpha 90.00
_cell_angle_beta 90.00
_cell_angle_gamma 90.00
_symmetry_space_group_name_H-M 'P m m 2'
_symmetry_Int_Tables_number 25
loop_
_symmetry_equiv_pos_as_xyz
'x,y,z'
'-x,-y,z'
'-x,y,z'
'x,-y,z'
loop_
_atom_site_label
_atom_site_type_symbol
_atom_site_fract_x
_atom_site_fract_y
_atom_site_fract_z
Rb1 Rb 0.000 0.000 0.000
Mg1 Mg 0.000 0.000 0.535
Mg2 Mg 0.000 0.243 0.294
Mg3 Mg 0.000 0.265 0.766
Mg4 Mg 0.000 0.500 0.536
Mg5 Mg 0.500 0.000 0.294
Mg6 Mg 0.500 0.000 0.761
Mg7 Mg 0.500 0.254 0.528
Mg8 Mg 0.500 0.259 0.052
Mg9 Mg 0.500 0.500 0.288
Mg10 Mg 0.500 0.500 0.816
B1 B 0.000 0.500 0.109
O1 O 0.000 0.000 0.309
O2 O 0.000 0.256 0.529
O3 O 0.000 0.334 0.059
O4 O 0.000 0.500 0.275
O5 O 0.000 0.500 0.760
O6 O 0.500 0.000 0.074
O7 O 0.500 0.000 0.533
O8 O 0.500 0.249 0.800
O9 O 0.500 0.253 0.293
O10 O 0.500 0.500 0.056
O11 O 0.500 0.500 0.523
# Formation energy from raw total energies   -2.2919 eV/atom
# Crystal system   orthorhombic
# Magnetization   0.000 μB/cell
# Energy above the most stable polymorph in this dataset   15 meV per atom

The records above yield calculated total energy values of -8.285 -3.125 -6.137 -6.707 -4.101 -7.312 -7.844 -5.064 -2.779 -6.157 -3.292 -5.658 eV/atom, respectively.